A geometry-optimized Na3Ge2Pd5 structure, computed with PBE.

Calculated values
E_form   -0.15 eV per atom
DOS at the Fermi energy   22.105 states/eV per cell

Cell: 11.3923 12.1566 5.7749 Å, 90.00 90.00 90.00°
Space group Ibam (No. 72)
Asymmetric unit:
1 Na 0.0000 0.0000 0.2500 (multiplicity 4)
2 Na 0.2335 0.3944 0.0000 (multiplicity 8)
3 Ge 0.1431 0.1688 0.0000 (multiplicity 8)
4 Pd 0.0000 0.2580 0.2500 (multiplicity 8)
5 Pd 0.0000 0.5000 0.2500 (multiplicity 4)
6 Pd 0.1589 0.3773 0.5000 (multiplicity 8)